This record from Alexandria describes crystalline Sn2Sb2Se at its relaxed geometry. The functional is PBE.

```
data_Sn2Sb2Se
_chemical_formula_sum 'Sn4 Sb4 Se2'
_symmetry_space_group_name_H-M 'P 4/m b m'
_symmetry_Int_Tables_number 127
_symmetry_space_group_name_Hall '-P 4 2ab'
_cell_length_a 8.253
_cell_length_b 8.253
_cell_length_c 4.067
_cell_angle_alpha 90.00
_cell_angle_beta 90.00
_cell_angle_gamma 90.00
loop_
_atom_site_label
_atom_site_fract_x
_atom_site_fract_y
_atom_site_fract_z
_atom_site_occupancy
Sn1 0.168 0.332 0.000 1
Sb1 0.137 0.637 0.500 1
Se1 0.000 0.000 0.000 1
```

ΔE_f (raw)	0.16	eV/atom

---

This record from Alexandria describes crystalline Ba2Li2Au15 at its relaxed geometry. The functional is PBE.

```
data_Ba2Li2Au15
_chemical_formula_sum 'Ba6 Li6 Au45'
_symmetry_space_group_name_H-M 'R -3 m'
_symmetry_Int_Tables_number 166
_symmetry_space_group_name_Hall '-R 3 2"'
_cell_length_a 9.7605
_cell_length_b 9.7605
_cell_length_c 14.5115
_cell_angle_alpha 90.00
_cell_angle_beta 90.00
_cell_angle_gamma 120.00
loop_
_atom_site_label
_atom_site_fract_x
_atom_site_fract_y
_atom_site_fract_z
_atom_site_occupancy
Ba1 0.0000 0.0000 0.1580 1
Li1 0.0000 0.0000 0.4070 1
Au1 0.0000 0.2944 0.5000 1
Au2 0.0000 0.5000 0.0000 1
Au3 0.0012 0.5006 0.6527 1
```

ΔH_f (0 K)	-0.39	eV/atom

---

This record from Alexandria describes crystalline Ta4OsRu3 at its relaxed geometry. The functional is PBE.

```
data_Ta4OsRu3
_chemical_formula_sum 'Ta4 Os1 Ru3'
_symmetry_space_group_name_H-M 'P m m m'
_symmetry_Int_Tables_number 47
_cell_length_a 3.463
_cell_length_b 4.315
_cell_length_c 8.626
_cell_angle_alpha 90.00
_cell_angle_beta 90.00
_cell_angle_gamma 90.00
loop_
_symmetry_equiv_pos_as_xyz
'x,y,z'
'-x,-y,-z'
'-x,-y,z'
'x,y,-z'
'x,-y,-z'
'-x,y,z'
'-x,y,-z'
'x,-y,z'
loop_
_atom_site_label
_atom_site_fract_x
_atom_site_fract_y
_atom_site_fract_z
_atom_site_occupancy
Ta1 0.000 0.000 0.000 1
Ta2 0.000 0.000 0.500 1
Ta3 0.000 0.500 0.249 1
Os1 0.500 0.500 0.000 1
Ru1 0.500 0.000 0.252 1
Ru2 0.500 0.500 0.500 1
```

ΔH_f (0 K)	-0.30	eV/atom

---

This record from Alexandria describes crystalline BaC3Se at its relaxed geometry. The functional is PBE.

```
data_BaC3Se
_chemical_formula_sum 'Ba1 C3 Se1'
_symmetry_space_group_name_H-M 'P m -3 m'
_symmetry_Int_Tables_number 221
_symmetry_space_group_name_Hall '-P 4 2 3'
_cell_length_a 4.252
_cell_length_b 4.252
_cell_length_c 4.252
_cell_angle_alpha 90.00
_cell_angle_beta 90.00
_cell_angle_gamma 90.00
loop_
_atom_site_label
_atom_site_fract_x
_atom_site_fract_y
_atom_site_fract_z
_atom_site_occupancy
Ba1 0.000 0.000 0.000 1
C1 0.000 0.500 0.500 1
Se1 0.500 0.500 0.500 1
```

ΔE_f (raw)	2.19	eV/atom